1.
DFT (PBE) results for an optimized crystal structure of SrReSb2Te.

```
SrReSb2Te
1.0
6.0040 0.0000 0.0000
0.0000 6.0040 0.0000
0.0000 0.0000 5.9471
Re Sb Sr Te
1 2 1 1
direct
0.5000 0.5000 0.5000
0.0000 0.5000 0.0000
0.5000 0.0000 0.0000
0.0000 0.0000 0.0000
0.0000 0.0000 0.5000
```

The crystal system is tetragonal. As for the uncorrected formation energy: 1.755 eV per atom. As for the total DFT energy (no corrections): -3.35 eV/atom. For the excess energy over the best structure of this formula in the dataset, the calculation gives 1.7043 eV/atom. The total moment is 4.6 μB per formula unit.

2.
DFT (PBE) results for an optimized crystal structure of TaZn2Cu2.

```
TaZn2Cu2
1.0
-5.7762 -3.2483 3.0401
-1.7904 -2.8637 -6.4615
1.4767 -2.1267 0.5334
Zn Ta Cu
4 2 4
direct
0.1253 0.3747 0.0000
0.3747 0.8747 0.0000
0.8747 0.6253 0.0000
0.6253 0.1253 0.0000
0.0000 0.0000 0.0000
0.5000 0.5000 0.0000
0.3263 0.1737 0.5000
0.6737 0.8263 0.5000
0.1737 0.6737 0.5000
0.8263 0.3263 0.5000
```

The crystal system is tetragonal. As for the total DFT energy (no corrections): -4.44 eV/atom. For the excess energy over the best structure of this formula in the dataset, the calculation gives 0.0078 eV/atom. The total moment is 0.0 μB per formula unit. The calculation puts the formation energy from the elements at 0.076 eV per atom.

3.
DFT (PBE) results for an optimized crystal structure of CsInI4.

```
CsInI4
1.0
19.5463 0.0000 0.0000
0.0000 7.9487 0.0540
0.0000 2.6316 8.3747
Cs I In
4 16 4
direct
0.6218 0.1909 0.2120
0.3782 0.8091 0.7880
0.8782 0.1909 0.7120
0.1218 0.8091 0.2880
0.5530 0.7298 0.5589
0.0489 0.2722 0.4268
0.7411 0.5705 0.8871
0.2589 0.4295 0.1129
0.5489 0.7278 0.0732
0.9470 0.7298 0.0589
0.9511 0.7278 0.5732
0.2411 0.4295 0.6129
0.8299 0.1399 0.2060
0.3299 0.8601 0.2940
0.0530 0.2702 0.9411
0.6701 0.1399 0.7060
0.1701 0.8601 0.7940
0.4470 0.2702 0.4411
0.4511 0.2722 0.9268
0.7589 0.5705 0.3871
0.6296 0.7888 0.8013
0.8704 0.7888 0.3013
0.1296 0.2112 0.6987
0.3704 0.2112 0.1987
```

The crystal system is monoclinic. As for the uncorrected formation energy: -0.904 eV per atom. As for the total DFT energy (no corrections): -2.54 eV/atom. For the excess energy over the best structure of this formula in the dataset, the calculation gives 0.0000 eV/atom. The total moment is 0.0 μB per formula unit.

4.
DFT (PBE) results for an optimized crystal structure of Ga2CuI6.

```
Ga2CuI6
1.0
-7.3724 -2.4788 4.0353
-1.9279 -10.9567 -1.2155
1.5322 -1.3581 11.0024
I Ga Cu
12 4 2
direct
0.5178 0.3390 0.3729
0.9822 0.6271 0.6610
0.1742 0.1400 0.6139
0.0178 0.3729 0.3390
0.4822 0.6610 0.6271
0.6742 0.6139 0.1400
0.4672 0.0037 0.1909
0.8258 0.8600 0.3861
0.9672 0.1909 0.0037
0.3258 0.3861 0.8600
0.5328 0.9963 0.8091
0.0328 0.8091 0.9963
0.8089 0.3811 0.2058
0.6911 0.7942 0.6189
0.1911 0.6189 0.7942
0.3089 0.2058 0.3811
0.2500 0.1946 0.8054
0.7500 0.8054 0.1946
```

The crystal system is monoclinic. As for the uncorrected formation energy: -0.333 eV per atom. As for the total DFT energy (no corrections): -2.49 eV/atom. For the excess energy over the best structure of this formula in the dataset, the calculation gives 0.0000 eV/atom. The total moment is 0.0 μB per formula unit.

5.
DFT (PBE) results for an optimized crystal structure of GdTlInAu.

```
GdTlInAu
1.0
5.1505 0.0000 0.0000
2.5752 4.4604 0.0000
2.5752 1.4868 4.2053
Au Tl Gd In
1 1 1 1
direct
0.0000 0.0000 0.0000
0.5000 0.5000 0.5000
0.7500 0.7500 0.7500
0.2500 0.2500 0.2500
```

The crystal system is cubic. As for the total DFT energy (no corrections): -6.04 eV/atom. The total moment is 7.0 μB per formula unit. The calculation puts the formation energy from the elements at -0.420 eV per atom.

6.
DFT (PBE) results for an optimized crystal structure of Na2Tl4Cd3.

```
Na2Tl4Cd3
1.0
-0.4196 5.1157 0.5572
-2.9740 1.9205 4.0743
7.3577 -0.1381 6.7747
Cd Tl Na
3 4 2
direct
0.0000 0.0000 0.0000
0.6589 0.6830 0.5592
0.3411 0.3170 0.4408
0.0190 0.9612 0.3356
0.6568 0.6867 0.8927
0.3432 0.3133 0.1073
0.9810 0.0388 0.6644
0.3176 0.3659 0.7710
0.6824 0.6341 0.2290
```

The crystal system is triclinic. As for the total DFT energy (no corrections): -1.71 eV/atom. For the excess energy over the best structure of this formula in the dataset, the calculation gives 0.0000 eV/atom. The total moment is 0.0 μB per formula unit. The calculation puts the formation energy from the elements at -0.056 eV per atom.

Density of states at the Fermi level list, top to bottom, in states/eV/atom: 0.95, 0.42, 0.00, 0.28, 0.56, 0.42